Co4OsAu: optimized geometry, PBE.

The value obtained for the formation energy is 294 meV/atom. The density of states at the Fermi level is 1.13 states/eV per atom.

The structure belongs to space group F-43m (No. 216); the cell edges are 6.733, 6.733 and 6.733 Å and the angles 90.00°, 90.00° and 90.00°. The distinct sites, in fractional coordinates, are Co at (0.125, 0.125, 0.125), Os at (0.250, 0.250, 0.750) and Au at (0.000, 0.000, 0.500).

---

LaMg2CdAg4: optimized geometry, PBE.

The value obtained for the formation energy is -180 meV/atom. The density of states at the Fermi level is 0.64 states/eV per atom.

The structure belongs to space group R-3m (No. 166, hexagonal axes); the cell edges are 4.7332, 4.7332 and 27.3740 Å and the angles 90.00°, 90.00° and 120.00°. The distinct sites, in fractional coordinates, are La at (0.0000, 0.0000, 0.0000), Mg at (0.0000, 0.0000, 0.2399), Cd at (0.0000, 0.0000, 0.5000), Ag at (0.0000, 0.0000, 0.1256) and Ag at (0.0000, 0.0000, 0.3972).

---

LuAgHg: optimized geometry, PBE.

The value obtained for the formation energy is -326 meV/atom. The density of states at the Fermi level is 0.27 states/eV per atom.

The structure belongs to space group I4mm (No. 107); the cell edges are 3.767, 3.767 and 9.306 Å and the angles 90.00°, 90.00° and 90.00°. The distinct sites, in fractional coordinates, are Lu at (0.000, 0.000, 0.000), Ag at (0.000, 0.000, 0.667) and Hg at (0.000, 0.000, 0.329).

---

Cu3I3Br: optimized geometry, PBE.

The value obtained for the uncorrected formation energy is -0.20 eV per atom. The density of states at the Fermi level is 1.04 states/eV per atom.

The structure belongs to space group P6_3/m (No. 176); the cell edges are 11.4874, 11.4874 and 4.0740 Å and the angles 90.00°, 90.00° and 120.00°. The distinct sites, in fractional coordinates, are Cu at (0.0872, 0.5790, 0.2500), I at (0.0286, 0.6830, 0.7500) and Br at (0.3333, 0.6667, 0.2500).

---

Which formula does entry 4 have?
Cu3I3Br